! PBE-GGA Pr3SmTh2N6, optimized geometry; values from VASP
&SYSTEM
  ibrav = 0, nat = 12, ntyp = 4
/
ATOMIC_SPECIES
Pr 140.91 Pr.upf
Sm 150.36 Sm.upf
Th 232.04 Th.upf
N 14.01 N.upf
ATOMIC_POSITIONS crystal
Pr 0.000 0.000 0.000
Pr 0.335 0.665 0.000
Pr 0.665 0.335 0.000
Sm 0.500 0.500 0.500
Th 0.167 0.833 0.500
Th 0.833 0.167 0.500
N 0.083 0.422 0.265
N 0.239 0.239 0.735
N 0.422 0.083 0.265
N 0.578 0.917 0.735
N 0.761 0.761 0.265
N 0.917 0.578 0.735
CELL_PARAMETERS angstrom
3.173 -5.496 0.000
3.173 5.496 0.000
-2.112 0.000 5.987
! **SG**: C2/m, No. 12
! **ΔE_f (raw)**: -1.48 eV per atom
! **Density of states at the Fermi level**: 1.93 states/eV per cell
! **Calculated density**: 8.92 g cm⁻³
! **Raw total energy**: -8.467 eV per atom